# 1
Material: CaY2SiPt
Method: DFT, meta-GGA SCAN
State: single point on PBEsol structure

Calculated values
The volume is 131.04 Å³ per cell. As for the total energy: -2.16489 Ry per atom. The calculation puts the uncorrected formation energy at -343.2 meV/atom. The space group is P4/mmm, No. 123.

a = 5.376 Å, b = 5.376 Å, c = 4.535 Å
α = 90.00°, β = 90.00°, γ = 90.00°
Atoms (fractional coordinates):
Ca 0.000 0.000 0.000
Y 0.000 0.500 0.500
Y 0.500 0.000 0.500
Si 0.500 0.500 0.500
Pt 0.500 0.500 0.000

# 2
Material: Ca3Sn13Pt4
Method: DFT, meta-GGA SCAN
State: single point on PBEsol structure

Calculated values
The volume is 926.31 Å³ per cell. As for the total energy: -2.89575 Ry per atom. The space group is Pm-3n, No. 223. The value obtained for the formation energy is -562 meV/atom.

a = 9.748 Å, b = 9.748 Å, c = 9.748 Å
α = 90.00°, β = 90.00°, γ = 90.00°
Atoms (fractional coordinates):
Ca 0.000 0.250 0.500
Ca 0.000 0.750 0.500
Ca 0.250 0.500 0.000
Ca 0.500 0.000 0.250
Ca 0.500 0.000 0.750
Ca 0.750 0.500 0.000
Sn 0.000 0.000 0.000
Sn 0.000 0.310 0.150
Sn 0.000 0.310 0.850
Sn 0.000 0.690 0.150
Sn 0.000 0.690 0.850
Sn 0.150 0.000 0.310
Sn 0.150 0.000 0.690
Sn 0.190 0.500 0.350
Sn 0.190 0.500 0.650
Sn 0.310 0.150 0.000
Sn 0.310 0.850 0.000
Sn 0.350 0.190 0.500
Sn 0.350 0.810 0.500
Sn 0.500 0.350 0.190
Sn 0.500 0.350 0.810
Sn 0.500 0.500 0.500
Sn 0.500 0.650 0.190
Sn 0.500 0.650 0.810
Sn 0.650 0.190 0.500
Sn 0.650 0.810 0.500
Sn 0.690 0.150 0.000
Sn 0.690 0.850 0.000
Sn 0.810 0.500 0.350
Sn 0.810 0.500 0.650
Sn 0.850 0.000 0.310
Sn 0.850 0.000 0.690
Pt 0.250 0.250 0.250
Pt 0.250 0.250 0.750
Pt 0.250 0.750 0.250
Pt 0.250 0.750 0.750
Pt 0.750 0.250 0.250
Pt 0.750 0.250 0.750
Pt 0.750 0.750 0.250
Pt 0.750 0.750 0.750

# 3
Material: Ca3SnPt
Method: DFT, meta-GGA SCAN
State: single point on PBEsol structure

Calculated values
The volume is 185.18 Å³ per cell. As for the total energy: -1.97913 Ry per atom. The space group is Pm-3m, No. 221. The value obtained for the formation energy is 93 meV/atom.

a = 5.700 Å, b = 5.700 Å, c = 5.700 Å
α = 90.00°, β = 90.00°, γ = 90.00°
Atoms (fractional coordinates):
Ca 0.000 0.000 0.500
Ca 0.000 0.500 0.000
Ca 0.500 0.000 0.000
Sn 0.000 0.000 0.000
Pt 0.500 0.500 0.500

# 4
Material: Ca2Sn5Pt3
Method: DFT, meta-GGA SCAN
State: single point on PBEsol structure

Calculated values
The volume is 858.94 Å³ per cell. As for the total energy: -3.07196 Ry per atom. The space group is Pnma, No. 62. The value obtained for the formation energy is -845 meV/atom.

a = 7.342 Å, b = 4.440 Å, c = 26.349 Å
α = 90.00°, β = 90.00°, γ = 90.00°
Atoms (fractional coordinates):
Ca 0.219 0.250 0.227
Ca 0.247 0.250 0.923
Ca 0.253 0.750 0.423
Ca 0.281 0.750 0.727
Ca 0.719 0.250 0.273
Ca 0.747 0.250 0.577
Ca 0.753 0.750 0.077
Ca 0.781 0.750 0.773
Sn 0.035 0.750 0.544
Sn 0.038 0.250 0.043
Sn 0.095 0.250 0.347
Sn 0.117 0.250 0.798
Sn 0.215 0.750 0.132
Sn 0.285 0.250 0.632
Sn 0.383 0.750 0.298
Sn 0.405 0.750 0.847
Sn 0.462 0.750 0.543
Sn 0.465 0.250 0.044
Sn 0.535 0.750 0.956
Sn 0.538 0.250 0.457
Sn 0.595 0.250 0.153
Sn 0.617 0.250 0.702
Sn 0.715 0.750 0.368
Sn 0.785 0.250 0.868
Sn 0.883 0.750 0.202
Sn 0.905 0.750 0.653
Sn 0.962 0.750 0.957
Sn 0.965 0.250 0.456
Pt 0.004 0.750 0.300
Pt 0.036 0.750 0.857
Pt 0.244 0.250 0.527
Pt 0.256 0.750 0.027
Pt 0.464 0.250 0.357
Pt 0.496 0.250 0.800
Pt 0.504 0.750 0.200
Pt 0.536 0.750 0.643
Pt 0.744 0.250 0.973
Pt 0.756 0.750 0.473
Pt 0.964 0.250 0.143
Pt 0.996 0.250 0.700

# 5
Material: SrCa2Pt
Method: DFT, meta-GGA SCAN
State: single point on PBEsol structure

Calculated values
The volume is 254.61 Å³ per cell. As for the total energy: -2.09407 Ry per atom. The space group is Immm, No. 71. As for the offset from the most stable computed form: 0.000 eV per atom. The value obtained for the formation energy is -542 meV/atom.

a = 3.665 Å, b = 5.611 Å, c = 12.382 Å
α = 90.00°, β = 90.00°, γ = 90.00°
Atoms (fractional coordinates):
Sr 0.000 0.000 0.000
Sr 0.500 0.500 0.500
Ca 0.000 0.500 0.177
Ca 0.000 0.500 0.823
Ca 0.500 0.000 0.323
Ca 0.500 0.000 0.677
Pt 0.000 0.000 0.500
Pt 0.500 0.500 0.000

# 6
Material: SrCaPt
Method: DFT, meta-GGA SCAN
State: single point on PBEsol structure

Calculated values
The volume is 354.23 Å³ per cell. As for the total energy: -2.56247 Ry per atom. The space group is F-43m, No. 216. The value obtained for the formation energy is -820 meV/atom.

a = 7.076 Å, b = 7.076 Å, c = 7.076 Å
α = 90.00°, β = 90.00°, γ = 90.00°
Atoms (fractional coordinates):
Sr 0.000 0.000 0.000
Sr 0.000 0.500 0.500
Sr 0.500 0.000 0.500
Sr 0.500 0.500 0.000
Ca 0.000 0.000 0.500
Ca 0.000 0.500 0.000
Ca 0.500 0.000 0.000
Ca 0.500 0.500 0.500
Pt 0.250 0.250 0.250
Pt 0.250 0.750 0.750
Pt 0.750 0.250 0.750
Pt 0.750 0.750 0.250

# 7
Material: Sr2CaPt
Method: DFT, meta-GGA SCAN
State: single point on PBEsol structure

Calculated values
The volume is 465.08 Å³ per cell. As for the total energy: -2.32173 Ry per atom. The space group is R-3m, No. 166. As for the offset from the most stable computed form: 0.013 eV per atom. The value obtained for the formation energy is -487 meV/atom.

a = 4.191 Å, b = 4.191 Å, c = 30.574 Å
α = 90.00°, β = 90.00°, γ = 120.00°
Atoms (fractional coordinates):
Sr 0.000 0.000 0.222
Sr 0.000 0.000 0.778
Sr 0.333 0.667 0.445
Sr 0.333 0.667 0.888
Sr 0.667 0.333 0.112
Sr 0.667 0.333 0.555
Ca 0.000 0.000 0.000
Ca 0.333 0.667 0.667
Ca 0.667 0.333 0.333
Pt 0.000 0.000 0.500
Pt 0.333 0.667 0.167
Pt 0.667 0.333 0.833

# 8
Material: SrCa2Pt2
Method: DFT, meta-GGA SCAN
State: single point on PBEsol structure

Calculated values
The volume is 249.03 Å³ per cell. As for the total energy: -2.73929 Ry per atom. The space group is P4/mbm, No. 127. As for the offset from the most stable computed form: 0.000 eV per atom. The value obtained for the formation energy is -872 meV/atom.

a = 7.783 Å, b = 7.783 Å, c = 4.111 Å
α = 90.00°, β = 90.00°, γ = 90.00°
Atoms (fractional coordinates):
Sr 0.000 0.000 0.000
Sr 0.500 0.500 0.000
Ca 0.159 0.341 0.500
Ca 0.341 0.841 0.500
Ca 0.659 0.159 0.500
Ca 0.841 0.659 0.500
Pt 0.125 0.625 0.000
Pt 0.375 0.125 0.000
Pt 0.625 0.875 0.000
Pt 0.875 0.375 0.000

# 9
Material: SrCa3Pt
Method: DFT, meta-GGA SCAN
State: single point on PBEsol structure

Calculated values
The volume is 179.00 Å³ per cell. As for the total energy: -1.82486 Ry per atom. The space group is Pm-3m, No. 221. The value obtained for the formation energy is -537 meV/atom.

a = 5.636 Å, b = 5.636 Å, c = 5.636 Å
α = 90.00°, β = 90.00°, γ = 90.00°
Atoms (fractional coordinates):
Sr 0.000 0.000 0.000
Ca 0.000 0.500 0.500
Ca 0.500 0.000 0.500
Ca 0.500 0.500 0.000
Pt 0.500 0.500 0.500

# 10
Material: SrCa2Pt
Method: DFT, meta-GGA SCAN
State: single point on PBEsol structure

Calculated values
The volume is 223.59 Å³ per cell. As for the total energy: -2.07053 Ry per atom. The space group is I4/mmm, No. 139. As for the offset from the most stable computed form: 0.320 eV per atom. The value obtained for the formation energy is -222 meV/atom.

a = 4.660 Å, b = 4.660 Å, c = 10.296 Å
α = 90.00°, β = 90.00°, γ = 90.00°
Atoms (fractional coordinates):
Sr 0.000 0.000 0.000
Sr 0.500 0.500 0.500
Ca 0.000 0.500 0.250
Ca 0.000 0.500 0.750
Ca 0.500 0.000 0.250
Ca 0.500 0.000 0.750
Pt 0.000 0.000 0.500
Pt 0.500 0.500 0.000

# 11
Material: SrCaPt4
Method: DFT, meta-GGA SCAN
State: single point on PBEsol structure

Calculated values
The volume is 112.97 Å³ per cell. As for the total energy: -3.90615 Ry per atom. The space group is F-43m, No. 216. The value obtained for the formation energy is -1027 meV/atom.

a = 5.426 Å, b = 5.426 Å, c = 5.426 Å
α = 60.00°, β = 60.00°, γ = 60.00°
Atoms (fractional coordinates):
Sr 0.000 0.000 0.000
Ca 0.250 0.250 0.250
Pt 0.126 0.625 0.625
Pt 0.625 0.126 0.625
Pt 0.625 0.625 0.126
Pt 0.625 0.625 0.625

# 12
Material: SrCa2Pt2
Method: DFT, meta-GGA SCAN
State: single point on PBEsol structure

Calculated values
The volume is 258.77 Å³ per cell. As for the total energy: -2.73851 Ry per atom. The space group is I4/mmm, No. 139. As for the offset from the most stable computed form: 0.011 eV per atom. The value obtained for the formation energy is -862 meV/atom.

a = 4.567 Å, b = 4.567 Å, c = 12.408 Å
α = 90.00°, β = 90.00°, γ = 90.00°
Atoms (fractional coordinates):
Sr 0.000 0.000 0.000
Sr 0.500 0.500 0.500
Ca 0.000 0.500 0.250
Ca 0.000 0.500 0.750
Ca 0.500 0.000 0.250
Ca 0.500 0.000 0.750
Pt 0.000 0.000 0.396
Pt 0.000 0.000 0.604
Pt 0.500 0.500 0.104
Pt 0.500 0.500 0.896

# 13
Material: SrCa3Pt
Method: DFT, meta-GGA SCAN
State: single point on PBEsol structure

Calculated values
The volume is 334.56 Å³ per cell. As for the total energy: -1.82490 Ry per atom. The space group is Cmmm, No. 65. The value obtained for the formation energy is -537 meV/atom.

a = 9.257 Å, b = 9.257 Å, c = 4.170 Å
α = 90.00°, β = 90.00°, γ = 110.56°
Atoms (fractional coordinates):
Sr 0.201 0.799 0.000
Sr 0.799 0.201 0.000
Ca 0.000 0.000 0.500
Ca 0.166 0.411 0.500
Ca 0.411 0.166 0.500
Ca 0.500 0.500 0.000
Ca 0.589 0.834 0.500
Ca 0.834 0.589 0.500
Pt 0.209 0.209 0.000
Pt 0.791 0.791 0.000

# 14
Material: Sr2CaPt2
Method: DFT, meta-GGA SCAN
State: single point on PBEsol structure

Calculated values
The volume is 264.32 Å³ per cell. As for the total energy: -2.92383 Ry per atom. The space group is P4/mbm, No. 127. The value obtained for the formation energy is -861 meV/atom.

a = 7.759 Å, b = 7.759 Å, c = 4.390 Å
α = 90.00°, β = 90.00°, γ = 90.00°
Atoms (fractional coordinates):
Sr 0.166 0.334 0.000
Sr 0.334 0.834 0.000
Sr 0.666 0.166 0.000
Sr 0.834 0.666 0.000
Ca 0.000 0.000 0.500
Ca 0.500 0.500 0.500
Pt 0.125 0.625 0.500
Pt 0.375 0.125 0.500
Pt 0.625 0.875 0.500
Pt 0.875 0.375 0.500

# 15
Material: Sr2CaPt
Method: DFT, meta-GGA SCAN
State: single point on PBEsol structure

Calculated values
The volume is 281.91 Å³ per cell. As for the total energy: -2.32265 Ry per atom. The space group is Immm, No. 71. As for the offset from the most stable computed form: 0.000 eV per atom. The value obtained for the formation energy is -500 meV/atom.

a = 3.665 Å, b = 4.755 Å, c = 16.177 Å
α = 90.00°, β = 90.00°, γ = 90.00°
Atoms (fractional coordinates):
Sr 0.000 0.000 0.157
Sr 0.000 0.000 0.843
Sr 0.500 0.500 0.343
Sr 0.500 0.500 0.657
Ca 0.000 0.500 0.000
Ca 0.500 0.000 0.500
Pt 0.000 0.500 0.500
Pt 0.500 0.000 0.000

# 16
Material: Sr3CaPt
Method: DFT, meta-GGA SCAN
State: single point on PBEsol structure

Calculated values
The volume is 206.26 Å³ per cell. As for the total energy: -2.19081 Ry per atom. The space group is Pm-3m, No. 221. The value obtained for the formation energy is -471 meV/atom.

a = 5.908 Å, b = 5.908 Å, c = 5.908 Å
α = 90.00°, β = 90.00°, γ = 90.00°
Atoms (fractional coordinates):
Sr 0.000 0.000 0.500
Sr 0.000 0.500 0.000
Sr 0.500 0.000 0.000
Ca 0.500 0.500 0.500
Pt 0.000 0.000 0.000

# 17
Material: CaTa2Pt
Method: DFT, meta-GGA SCAN
State: single point on PBEsol structure

Calculated values
The volume is 155.26 Å³ per cell. As for the total energy: -3.92536 Ry per atom. The space group is Immm, No. 71. As for the offset from the most stable computed form: 0.000 eV per atom. The value obtained for the formation energy is -151 meV/atom.

a = 2.878 Å, b = 4.864 Å, c = 11.092 Å
α = 90.00°, β = 90.00°, γ = 90.00°
Atoms (fractional coordinates):
Ca 0.000 0.000 0.000
Ca 0.500 0.500 0.500
Ta 0.000 0.500 0.214
Ta 0.000 0.500 0.786
Ta 0.500 0.000 0.286
Ta 0.500 0.000 0.714
Pt 0.000 0.000 0.500
Pt 0.500 0.500 0.000

# 18
Material: CaTaPt4
Method: DFT, meta-GGA SCAN
State: single point on PBEsol structure

Calculated values
The volume is 102.58 Å³ per cell. As for the total energy: -4.41130 Ry per atom. The space group is F-43m, No. 216. The value obtained for the formation energy is -516 meV/atom.

a = 5.254 Å, b = 5.254 Å, c = 5.254 Å
α = 60.00°, β = 60.00°, γ = 60.00°
Atoms (fractional coordinates):
Ca 0.000 0.000 0.000
Ta 0.750 0.750 0.750
Pt 0.375 0.375 0.375
Pt 0.375 0.375 0.875
Pt 0.375 0.875 0.375
Pt 0.875 0.375 0.375

# 19
Material: Ca2TaPt
Method: DFT, meta-GGA SCAN
State: single point on PBEsol structure

Calculated values
The volume is 101.64 Å³ per cell. As for the total energy: -2.88339 Ry per atom. The space group is P4mm, No. 99. As for the offset from the most stable computed form: 0.000 eV per atom. The value obtained for the formation energy is -205 meV/atom.

a = 3.370 Å, b = 3.370 Å, c = 8.952 Å
α = 90.00°, β = 90.00°, γ = 90.00°
Atoms (fractional coordinates):
Ca 0.000 0.000 0.000
Ca 0.500 0.500 0.372
Ta 0.500 0.500 0.738
Pt 0.000 0.000 0.613

# 20
Material: CaTa2Pt
Method: DFT, meta-GGA SCAN
State: single point on PBEsol structure

Calculated values
The volume is 76.49 Å³ per cell. As for the total energy: -3.92302 Ry per atom. The space group is Pmm2, No. 25. As for the offset from the most stable computed form: 0.032 eV per atom. The value obtained for the formation energy is -120 meV/atom.

a = 2.913 Å, b = 2.951 Å, c = 8.896 Å
α = 90.00°, β = 90.00°, γ = 90.00°
Atoms (fractional coordinates):
Ca 0.000 0.000 0.000
Ta 0.000 0.000 0.549
Ta 0.500 0.500 0.312
Pt 0.500 0.500 0.752